{
  "formula": "Y4TlPd3",
  "functional": "PBE",
  "state": "relaxed",
  "dos_at_fermi_per_ev_cell": 4.168,
  "sg": "R-3m, No. 166",
  "mass_density_g_cm3": 7.883,
  "delta_e_f_mev_per_atom": -735,
  "total_magnetization_mub_per_cell": 0.00,
  "cell": [[2.539, 1.466, 8.292], [-2.539, 1.466, 8.292], [0.000, -2.932, 8.292]],
  "species": ["Y", "Y", "Y", "Y", "Tl", "Pd", "Pd", "Pd"],
  "frac_coords": [[0.119, 0.119, 0.119], [0.370, 0.370, 0.370], [0.630, 0.630, 0.630], [0.881, 0.881, 0.881], [0.500, 0.500, 0.500], [0.000, 0.000, 0.000], [0.246, 0.246, 0.246], [0.754, 0.754, 0.754]]
}